No. 1
TmCu9Hg2 | Alexandria via LeMat-Bulk | PBE-GGA | optimized geometry; total magnetic moment = 0.000 μB/cell; calculated formation energy = -0.77 eV per formula unit
1.0
5.0822 0.0000 0.0000
2.5411 4.4013 0.0000
2.5411 1.4671 7.9917
Tm Cu Hg
1 9 2
Cartesian
0.0000 0.0000 0.0000 Tm
5.0822 2.9342 0.0028 Cu
5.0822 2.9342 7.9889 Cu
5.0822 2.9342 3.9958 Cu
3.8029 2.1956 1.9956 Cu
6.3615 2.1956 1.9956 Cu
5.0822 4.4114 1.9956 Cu
6.3615 3.6728 5.9961 Cu
5.0822 1.4570 5.9961 Cu
3.8028 3.6728 5.9961 Cu
7.6233 4.4013 3.3444 Hg
2.5411 1.4671 4.6473 Hg

No. 2
La2PrEr2Tm2 | Alexandria via LeMat-Bulk | PBE-GGA | optimized geometry; total magnetic moment = 0.000 μB/cell; calculated formation energy = 1.08 eV per formula unit
1.0
3.4820 0.0000 0.0000
-1.7410 9.1109 -0.9909
0.0000 -3.3498 7.8243
La Pr Er Tm
2 1 2 2
Cartesian
1.7410 -0.3882 6.8995 La
0.0000 6.1493 -0.0661 La
0.0000 -1.6749 3.9122 Pr
1.7410 3.9960 2.4135 Er
0.0000 1.7652 4.4199 Er
0.0000 5.2748 5.1283 Tm
1.7410 0.4863 1.7051 Tm

No. 3
AlCuHg2 | Alexandria via LeMat-Bulk | PBE-GGA | optimized geometry; total magnetic moment = 0.000 μB/cell; calculated formation energy = 0.54 eV per formula unit
1.0
-1.5944 -6.1175 -1.0796
2.2190 -4.0665 -4.4351
0.6290 3.9121 5.0429
Hg Cu Al
2 1 1
Cartesian
0.0249 -0.4052 -0.2194 Hg
-0.3295 -3.6011 0.6287 Hg
1.5910 -2.7998 -1.1704 Cu
0.2795 -4.5578 -2.4681 Al

No. 4
AlHgOs2 | Alexandria via LeMat-Bulk | PBE-GGA | optimized geometry; total magnetic moment = 0.000 μB/cell; offset from the most stable computed form = 147 meV/atom; calculated formation energy = 1.39 eV per formula unit
1.0
3.6325 0.0000 0.0000
0.0000 2.8224 -0.0021
0.0000 2.8248 6.4238
Os Hg Al
2 1 1
Cartesian
0.0000 2.8227 0.2949 Os
1.8162 1.4122 1.5740 Os
1.8162 4.2347 4.8229 Hg
0.0000 2.8236 2.9388 Al

No. 5
Sm8Ho2Sn | Alexandria via LeMat-Bulk | PBE-GGA | optimized geometry; total magnetic moment = 0.000 μB/cell; calculated formation energy = -1.28 eV per formula unit
1.0
4.9716 0.0000 0.0000
0.0000 8.0121 0.4666
-2.4858 -2.9396 8.6260
Sm Ho Sn
8 2 1
Cartesian
0.0000 2.0738 7.3351 Sm
2.4858 6.2197 3.4985 Sm
2.4858 4.4462 6.6532 Sm
2.4858 -0.5273 8.0032 Sm
0.0000 0.6264 2.4394 Sm
0.0000 -1.1472 5.5941 Sm
2.4858 2.9988 1.7574 Sm
0.0000 5.5999 1.0894 Sm
2.4858 1.3170 4.9376 Ho
0.0000 3.7555 4.1550 Ho
2.4858 0.0000 0.0000 Sn

No. 6
NbCu2Sn | Alexandria via LeMat-Bulk | PBE-GGA | optimized geometry; total magnetic moment = 0.000 μB/cell; calculated formation energy = -0.06 eV per formula unit
1.0
-0.1394 2.5729 -3.0553
-3.1580 -1.9597 -1.5061
-2.4676 2.3616 2.1013
Nb Sn Cu
1 1 2
Cartesian
-0.0697 1.2865 -1.5277 Nb
-2.8825 1.4874 -1.2301 Sn
-1.2338 1.1808 1.0507 Cu
-1.5790 -0.9798 -0.7531 Cu

Copy entry 3 word for word.
AlCuHg2 | Alexandria via LeMat-Bulk | PBE-GGA | optimized geometry; total magnetic moment = 0.000 μB/cell; calculated formation energy = 0.54 eV per formula unit
1.0
-1.5944 -6.1175 -1.0796
2.2190 -4.0665 -4.4351
0.6290 3.9121 5.0429
Hg Cu Al
2 1 1
Cartesian
0.0249 -0.4052 -0.2194 Hg
-0.3295 -3.6011 0.6287 Hg
1.5910 -2.7998 -1.1704 Cu
0.2795 -4.5578 -2.4681 Al

Question: Which value of calculated formation energy does entry 3 give?
Answer: 0.54 eV per formula unit

Question: Among the records above, which one has the lowest calculated formation energy?
Answer: Sm8Ho2Sn